(1)
This record from Alexandria via LeMat-Bulk describes Mo4PtSe after structural relaxation. The functional is GGA-PBE.

Lattice parameters (Å, degrees): 5.245 5.245 5.245 60.00 60.00 60.00
Atoms (fractional coordinates):
Mo 0.124 0.124 0.124
Mo 0.124 0.124 0.627
Mo 0.124 0.627 0.124
Mo 0.627 0.124 0.124
Pt 0.750 0.750 0.750
Se 0.500 0.500 0.500

Properties
DFT total energy, eV per atom: -8.2844
Formation energy without anion corrections, eV per atom: 0.524
Volume, Å³ per atom: 17.0

---

(2)
This record from Alexandria via LeMat-Bulk describes Y2TcAsAu after structural relaxation. The functional is GGA-PBE.

Lattice parameters (Å, degrees): 5.362 5.362 4.728 90.00 90.00 90.00
Atoms (fractional coordinates):
Y 0.000 0.500 0.000
Y 0.500 0.000 0.000
Tc 0.000 0.000 0.500
As 0.500 0.500 0.000
Au 0.500 0.500 0.500

Properties
DFT total energy, eV per atom: -5.8798
ΔH_f (0 K), meV per atom: 364
Volume, Å³ per atom: 27.2

---

(3)
This record from Alexandria via LeMat-Bulk describes LaBe2Os after structural relaxation. The functional is GGA-PBE.

Lattice parameters (Å, degrees): 4.328 4.328 15.956 90.00 90.00 90.00
Atoms (fractional coordinates):
La 0.000 0.250 0.375
La 0.000 0.750 0.625
La 0.500 0.250 0.125
La 0.500 0.750 0.875
Be 0.000 0.000 0.000
Be 0.000 0.500 0.000
Be 0.250 0.250 0.750
Be 0.250 0.750 0.250
Be 0.500 0.000 0.500
Be 0.500 0.500 0.500
Be 0.750 0.250 0.750
Be 0.750 0.750 0.250
Os 0.000 0.250 0.875
Os 0.000 0.750 0.125
Os 0.500 0.250 0.625
Os 0.500 0.750 0.375

Properties
Excess energy over the best structure of this formula in the dataset, eV/atom: 0.215
DFT total energy, eV per atom: -5.8262
ΔH_f (0 K), meV per atom: 76
Volume, Å³ per atom: 18.7

---

(4)
This record from Alexandria via LeMat-Bulk describes Pm3AsC after structural relaxation. The functional is GGA-PBE.

Lattice parameters (Å, degrees): 8.181 3.988 14.302 90.00 90.00 90.00
Atoms (fractional coordinates):
Pm 0.020 0.250 0.102
Pm 0.164 0.250 0.512
Pm 0.194 0.750 0.293
Pm 0.306 0.250 0.793
Pm 0.336 0.750 0.012
Pm 0.480 0.750 0.602
Pm 0.520 0.250 0.398
Pm 0.664 0.250 0.988
Pm 0.694 0.750 0.207
Pm 0.806 0.250 0.707
Pm 0.836 0.750 0.488
Pm 0.980 0.750 0.898
As 0.092 0.750 0.678
As 0.408 0.250 0.178
As 0.592 0.750 0.822
As 0.908 0.250 0.322
C 0.171 0.250 0.943
C 0.329 0.750 0.443
C 0.671 0.250 0.557
C 0.829 0.750 0.057

Properties
Excess energy over the best structure of this formula in the dataset, eV/atom: 0.000
DFT total energy, eV per atom: -6.3073
ΔH_f (0 K), meV per atom: -682
Volume, Å³ per atom: 23.3

---

(5)
This record from Alexandria via LeMat-Bulk describes ZrBe2Au after structural relaxation. The functional is GGA-PBE.

Lattice parameters (Å, degrees): 6.532 3.774 5.334 90.00 114.19 90.00
Atoms (fractional coordinates):
Zr 0.000 0.000 0.000
Zr 0.500 0.500 0.000
Be 0.286 0.500 0.356
Be 0.463 0.000 0.388
Be 0.786 0.000 0.356
Be 0.963 0.500 0.388
Au 0.204 0.000 0.611
Au 0.704 0.500 0.611

Properties
Excess energy over the best structure of this formula in the dataset, eV/atom: 0.185
DFT total energy, eV per atom: -4.9891
ΔH_f (0 K), meV per atom: -170
Volume, Å³ per atom: 15.0

---

(6)
This record from Alexandria via LeMat-Bulk describes Cs3Bi2As after structural relaxation. The functional is GGA-PBE.

Lattice parameters (Å, degrees): 8.831 8.831 7.697 93.64 93.64 100.76
Atoms (fractional coordinates):
Cs 0.107 0.893 0.750
Cs 0.213 0.440 0.913
Cs 0.440 0.213 0.413
Cs 0.560 0.787 0.587
Cs 0.787 0.560 0.087
Cs 0.893 0.107 0.250
Bi 0.156 0.537 0.410
Bi 0.463 0.844 0.090
Bi 0.537 0.156 0.910
Bi 0.844 0.463 0.590
As 0.184 0.816 0.250
As 0.816 0.184 0.750

Properties
DFT total energy, eV per atom: -2.8774
ΔH_f (0 K), meV per atom: -382
Volume, Å³ per atom: 48.9

---

(7)
This record from Alexandria via LeMat-Bulk describes Rb2NiI4 after structural relaxation. The functional is GGA-PBE.

Lattice parameters (Å, degrees): 7.603 8.120 11.486 90.00 91.21 90.00
Atoms (fractional coordinates):
Rb 0.189 0.250 0.001
Rb 0.190 0.250 0.504
Rb 0.810 0.750 0.496
Rb 0.811 0.750 0.999
Ni 0.210 0.750 0.753
Ni 0.790 0.250 0.247
I 0.006 0.002 0.250
I 0.006 0.498 0.250
I 0.325 0.750 0.964
I 0.328 0.750 0.546
I 0.672 0.250 0.454
I 0.675 0.250 0.036
I 0.994 0.502 0.750
I 0.994 0.998 0.750

Properties
DFT total energy, eV per atom: -2.8418
Formation energy without anion corrections, eV per atom: -0.854
Volume, Å³ per atom: 50.6

---

(8)
This record from Alexandria via LeMat-Bulk describes SmHo2RuN4 after structural relaxation. The functional is GGA-PBE.

Lattice parameters (Å, degrees): 6.045 6.045 11.577 90.00 90.00 147.24
Atoms (fractional coordinates):
Sm 0.124 0.876 0.750
Sm 0.876 0.124 0.250
Ho 0.369 0.631 0.542
Ho 0.369 0.631 0.958
Ho 0.631 0.369 0.042
Ho 0.631 0.369 0.458
Ru 0.140 0.860 0.250
Ru 0.860 0.140 0.750
N 0.000 0.000 0.000
N 0.000 0.000 0.500
N 0.267 0.733 0.128
N 0.267 0.733 0.372
N 0.446 0.554 0.750
N 0.554 0.446 0.250
N 0.733 0.267 0.628
N 0.733 0.267 0.872

Properties
DFT total energy, eV per atom: -8.0968
Formation energy without anion corrections, eV per atom: -1.040
Volume, Å³ per atom: 14.3